# 1
## Rb2TcBr5Cl (PBE)

Data for a geometry-optimized Rb2TcBr5Cl structure.

Summary:
* symmetry: I4mm (107)

```
9
Lattice="-3.7912 3.7912 5.3433 3.7912 -3.7912 5.3433 3.7912 3.7912 -5.3433" Properties=species:S:1:pos:R:3 pbc="T T T"
Rb 3.7912 0.0000 0.0000
Rb 0.0000 3.7912 0.0000
Tc 0.0000 0.0000 2.6824
Br 1.9944 1.9944 -2.6708
Br 1.7968 -1.7968 2.6725
Br 0.0000 0.0000 0.1472
Br -1.7968 1.7968 2.6725
Br 1.7968 1.7968 2.6725
Cl 0.0000 0.0000 5.0604
```

# 2
## RbTeBr2Cl (PBE)

Data for a geometry-optimized RbTeBr2Cl structure.

Summary:
* symmetry: P4/mmm (123)

```
5
Lattice="5.9720 0.0000 0.0000 0.0000 5.9720 0.0000 0.0000 0.0000 5.3340" Properties=species:S:1:pos:R:3 pbc="T T T"
Rb 0.0000 0.0000 0.0000
Te 2.9860 2.9860 2.6670
Br 0.0000 2.9860 2.6670
Br 2.9860 0.0000 2.6670
Cl 2.9860 2.9860 0.0000
```

# 3
## Rb6TeBr3Cl2 (PBE)

Data for a geometry-optimized Rb6TeBr3Cl2 structure.

Summary:
* symmetry: C2/m (12)

```
12
Lattice="10.7484 -2.4200 0.0000 10.7484 2.4200 0.0000 -2.0766 0.0000 9.9343" Properties=species:S:1:pos:R:3 pbc="T T T"
Rb -0.3916 0.0000 2.6926
Rb 5.1505 0.0000 8.9235
Rb 6.2388 0.0000 4.1691
Rb 13.1815 0.0000 5.7652
Rb 14.2698 0.0000 1.0107
Rb 19.8119 0.0000 7.2416
Te 10.7484 0.0000 0.0000
Br 1.7752 0.0000 8.2833
Br 9.7101 0.0000 4.9671
Br 17.6451 0.0000 1.6510
Cl 2.9668 0.0000 3.4100
Cl 16.4534 0.0000 6.5243
```

# 4
## Rb2TeBr4Cl2 (PBE)

Data for a geometry-optimized Rb2TeBr4Cl2 structure.

Summary:
* symmetry: C2/m (12)

```
9
Lattice="6.6690 -3.8729 0.0000 6.6690 3.8729 0.0000 -4.6775 0.0000 6.3819" Properties=species:S:1:pos:R:3 pbc="T T T"
Rb 2.2083 0.0000 1.4947
Rb 6.4522 0.0000 4.8872
Te -2.3388 0.0000 3.1910
Br 2.9438 1.9453 4.5551
Br 5.7167 1.9453 1.8268
Br 2.9438 -1.9453 4.5551
Br 5.7167 -1.9453 1.8268
Cl -0.5611 0.0000 5.0453
Cl 9.2216 0.0000 1.3366
```

# 5
## Rb2TeBr2Cl4 (PBE)

Data for a geometry-optimized Rb2TeBr2Cl4 structure.

Summary:
* symmetry: I4/mmm (139)

```
9
Lattice="-3.8056 3.8056 5.3624 3.8056 -3.8056 5.3624 3.8056 3.8056 -5.3624" Properties=species:S:1:pos:R:3 pbc="T T T"
Rb 3.8056 0.0000 2.6812
Rb 0.0000 3.8056 2.6812
Te 0.0000 0.0000 0.0000
Br 0.0000 0.0000 2.7327
Br 0.0000 0.0000 7.9920
Cl 1.8143 1.8143 0.0000
Cl 1.9913 -1.9913 5.3624
Cl -1.9913 1.9913 5.3624
Cl 1.9913 1.9913 5.3624
```

# 6
## Rb2TeBrCl6 (PBE)

Data for a geometry-optimized Rb2TeBrCl6 structure.

Summary:
* symmetry: P1 (1)

```
10
Lattice="6.6713 0.0000 0.0000 2.1242 7.3506 0.0000 1.5725 2.6967 7.2584" Properties=species:S:1:pos:R:3 pbc="T T T"
Rb 0.0000 0.0000 0.0000
Rb 4.7333 6.0748 4.9099
Te 2.3180 3.0556 2.4645
Br 7.5081 8.0924 6.0999
Cl 0.6827 1.1956 2.9918
Cl 3.9595 4.9147 1.9352
Cl 3.3274 1.5779 0.6139
Cl 3.8675 2.0433 4.2728
Cl 7.4454 4.0773 0.6614
Cl 7.9856 4.5324 4.3257
```

# 7
## Rb2TeBrCl6 (PBE)

Data for a geometry-optimized Rb2TeBrCl6 structure.

Summary:
* symmetry: I4/mmm (139)

```
10
Lattice="-4.1651 4.1651 5.2546 4.1651 -4.1651 5.2546 4.1651 4.1651 -5.2546" Properties=species:S:1:pos:R:3 pbc="T T T"
Rb 4.1651 0.0000 2.6273
Rb 0.0000 4.1651 2.6273
Te 0.0000 0.0000 0.0000
Br 0.0000 0.0000 5.2546
Cl 1.8063 1.8063 0.0000
Cl 2.3587 -2.3587 5.2546
Cl 0.0000 0.0000 2.5847
Cl 0.0000 0.0000 7.9244
Cl -2.3587 2.3587 5.2546
Cl 2.3587 2.3587 5.2546
```

# 8
## Rb2ThBr2Cl4 (PBE)

Data for a geometry-optimized Rb2ThBr2Cl4 structure.

Summary:
* symmetry: I4/mmm (139)

```
9
Lattice="-3.8654 3.8654 5.6175 3.8654 -3.8654 5.6175 3.8654 3.8654 -5.6175" Properties=species:S:1:pos:R:3 pbc="T T T"
Rb 3.8654 0.0000 2.8088
Rb 0.0000 3.8654 2.8088
Th 0.0000 0.0000 0.0000
Br 0.0000 0.0000 2.8647
Br 0.0000 0.0000 8.3703
Cl 1.8920 1.8920 0.0000
Cl 1.9734 -1.9734 5.6175
Cl -1.9734 1.9734 5.6175
Cl 1.9734 1.9734 5.6175
```

# 9
## Rb2ThBr5Cl (PBE)

Data for a geometry-optimized Rb2ThBr5Cl structure.

Summary:
* symmetry: I4mm (107)

```
9
Lattice="-4.0180 4.0180 5.5704 4.0180 -4.0180 5.5704 4.0180 4.0180 -5.5704" Properties=species:S:1:pos:R:3 pbc="T T T"
Rb 4.0180 0.0000 0.0000
Rb 0.0000 4.0180 0.0000
Th 0.0000 0.0000 2.7512
Br 2.0151 2.0151 2.7180
Br 2.0029 -2.0029 8.2883
Br 0.0000 0.0000 11.0513
Br -2.0029 2.0029 8.2883
Br 2.0029 2.0029 8.2883
Cl 0.0000 0.0000 5.4145
```

# 10
## Rb2ThBr4Cl2 (PBE)

Data for a geometry-optimized Rb2ThBr4Cl2 structure.

Summary:
* symmetry: C2/m (12)

```
9
Lattice="6.6518 -4.0014 0.0000 6.6518 4.0014 0.0000 -1.0267 0.0000 6.5408" Properties=species:S:1:pos:R:3 pbc="T T T"
Rb 1.9240 0.0000 1.7763
Rb 10.3530 0.0000 4.7645
Th 6.6518 0.0000 0.0000
Br 5.1546 2.0607 1.3022
Br 7.1223 2.0607 5.2386
Br 5.1546 -2.0607 1.3022
Br 7.1223 -2.0607 5.2386
Cl 3.8346 0.0000 4.5600
Cl 8.4423 0.0000 1.9808
```

# 11
## Rb2TiBr2Cl4 (PBE)

Data for a geometry-optimized Rb2TiBr2Cl4 structure.

Summary:
* symmetry: I4/mmm (139)

```
9
Lattice="-3.6898 3.6898 5.2212 3.6898 -3.6898 5.2212 3.6898 3.6898 -5.2212" Properties=species:S:1:pos:R:3 pbc="T T T"
Rb 3.6898 0.0000 2.6106
Rb 0.0000 3.6898 2.6106
Ti 0.0000 0.0000 0.0000
Br 0.0000 0.0000 2.5491
Br 0.0000 0.0000 7.8934
Cl 1.6654 1.6654 0.0000
Cl 2.0244 -2.0244 5.2212
Cl -2.0244 2.0244 5.2212
Cl 2.0244 2.0244 5.2212
```

# 12
## Rb2TiBrCl6 (PBE)

Data for a geometry-optimized Rb2TiBrCl6 structure.

Summary:
* symmetry: P1 (1)

```
10
Lattice="6.3963 0.0000 0.0000 1.0599 7.0104 0.0000 2.6453 2.5111 7.4118" Properties=species:S:1:pos:R:3 pbc="T T T"
Rb 0.0000 0.0000 0.0000
Rb 4.6050 6.1163 4.0200
Ti 2.4131 3.0814 1.9647
Br 7.7003 7.8456 5.3130
Cl 3.8361 5.7718 7.3438
Cl 3.3897 2.7485 4.0696
Cl 3.2154 0.9708 1.2239
Cl 4.2011 4.1960 1.1106
Cl 6.7848 1.9328 2.7833
Cl 7.8335 5.0865 2.7369
```

no.,DFT total energy (eV/cell)
1,-32.50
2,-13.47
3,-36.49
4,-25.51
5,-26.55
6,-28.41
7,-28.05
8,-38.10
9,-36.09
10,-36.84
11,-35.79
12,-37.70